Entry 1:
## Be2HgCl (PBE)

Data for Be2HgCl after structural relaxation.

VASP energy: -2.11 eV per atom
Energy relative to the lowest polymorph listed for this composition: 0.2747 eV/atom
D(E_F): 1.36 states/eV/f.u.
M_tot: 0.00 μB/f.u.

Cell: 5.6688 5.6688 5.6688 Å, 150.91 110.73 76.83°
Fractional positions:
Be 0.0000 0.0000 0.0000
Be 0.7977 0.2977 0.5000
Hg 0.2450 0.7450 0.5000
Cl 0.6376 0.6376 0.0000

=====

Entry 2:
## BeHgCl2 (PBE)

Data for BeHgCl2 after structural relaxation.

VASP energy: -1.47 eV per atom
Energy relative to the lowest polymorph listed for this composition: 1.4671 eV/atom
D(E_F): 1.59 states/eV/f.u.
M_tot: 0.00 μB/f.u.

Cell: 4.8632 4.8632 4.8632 Å, 60.00 60.00 60.00°
Fractional positions:
Be 0.0000 0.0000 0.0000
Hg 0.2500 0.2500 0.2500
Cl 0.5000 0.5000 0.5000
Cl 0.7500 0.7500 0.7500

=====

Entry 3:
## Be2HgCl (PBE)

Data for Be2HgCl after structural relaxation.

VASP energy: -1.85 eV per atom
Energy relative to the lowest polymorph listed for this composition: 0.5277 eV/atom
D(E_F): 1.88 states/eV/f.u.
M_tot: 0.00 μB/f.u.

Cell: 7.0108 7.0108 7.0108 Å, 152.19 152.19 39.74°
Fractional positions:
Be 0.0000 0.0000 0.0000
Be 0.7500 0.2500 0.5000
Hg 0.5000 0.5000 0.0000
Cl 0.2500 0.7500 0.5000

=====

Entry 4:
## Be2HgCl (PBE)

Data for Be2HgCl after structural relaxation.

VASP energy: -1.85 eV per atom
Energy relative to the lowest polymorph listed for this composition: 0.5298 eV/atom
D(E_F): 2.02 states/eV/f.u.
M_tot: 0.00 μB/f.u.

Cell: 3.2245 3.4704 6.6352 Å, 90.00 90.00 90.00°
Fractional positions:
Be 0.0000 0.0000 0.0000
Be 0.5000 0.0000 0.5000
Hg 0.0000 0.5000 0.5000
Cl 0.5000 0.5000 0.0000

=====

Entry 5:
## BeHgCl2 (PBE)

Data for BeHgCl2 after structural relaxation.

VASP energy: -2.76 eV per atom
Energy relative to the lowest polymorph listed for this composition: 0.1783 eV/atom
D(E_F): 0.00 states/eV/f.u.
M_tot: 0.00 μB/f.u.

Cell: 10.9734 10.9734 10.9734 Å, 17.28 17.28 17.28°
Fractional positions:
Be 0.0000 0.0000 0.0000
Hg 0.5000 0.5000 0.5000
Cl 0.3719 0.3719 0.3719
Cl 0.6281 0.6281 0.6281

=====

Entry 6:
## Be3HgCl (PBE)

Data for Be3HgCl after structural relaxation.

VASP energy: -1.89 eV per atom
Energy relative to the lowest polymorph listed for this composition: 0.0000 eV/atom
D(E_F): 5.61 states/eV/f.u.
M_tot: 0.00 μB/f.u.

Cell: 4.5906 4.5906 4.5906 Å, 90.00 90.00 90.00°
Fractional positions:
Be 0.0000 0.0000 0.5000
Be 0.0000 0.5000 0.0000
Be 0.5000 0.0000 0.0000
Hg 0.0000 0.0000 0.0000
Cl 0.5000 0.5000 0.5000

=====

Entry 7:
## BeHgCl4 (PBE)

Data for BeHgCl4 after structural relaxation.

VASP energy: -2.64 eV per atom
Energy relative to the lowest polymorph listed for this composition: 0.0000 eV/atom
M_tot: 0.00 μB/f.u.

Cell: 7.0460 7.0460 9.3747 Å, 90.00 90.00 90.00°
Fractional positions:
Be 0.0000 0.5000 0.0000
Be 0.5000 0.0000 0.5000
Hg 0.0000 0.0000 0.0000
Hg 0.0000 0.0000 0.5000
Cl 0.2207 0.2899 0.0000
Cl 0.2207 0.7101 0.0000
Cl 0.2899 0.2207 0.5000
Cl 0.2899 0.7793 0.5000
Cl 0.7101 0.2207 0.5000
Cl 0.7101 0.7793 0.5000
Cl 0.7793 0.2899 0.0000
Cl 0.7793 0.7101 0.0000

=====

Entry 8:
## Be2HgCl (PBE)

Data for Be2HgCl after structural relaxation.

VASP energy: -1.56 eV per atom
Energy relative to the lowest polymorph listed for this composition: 0.8151 eV/atom
D(E_F): 2.12 states/eV/f.u.
M_tot: 0.00 μB/f.u.

Cell: 4.8636 4.8636 4.8636 Å, 128.92 128.92 75.13°
Fractional positions:
Be 0.2500 0.7500 0.5000
Be 0.7500 0.2500 0.5000
Hg 0.0000 0.0000 0.0000
Cl 0.5000 0.5000 0.0000

=====

Entry 9:
## BeHgCl2 (PBE)

Data for BeHgCl2 after structural relaxation.

VASP energy: -2.70 eV per atom
Energy relative to the lowest polymorph listed for this composition: 0.2408 eV/atom
M_tot: 0.00 μB/f.u.

Cell: 6.7827 6.7827 6.7827 Å, 153.62 110.09 76.15°
Fractional positions:
Be 0.0000 0.0000 0.0000
Hg 0.5000 0.5000 0.0000
Cl 0.1361 0.6361 0.5000
Cl 0.8639 0.3639 0.5000

=====

Entry 10:
## BeHgCl2 (PBE)

Data for BeHgCl2 after structural relaxation.

VASP energy: -2.32 eV per atom
Energy relative to the lowest polymorph listed for this composition: 0.6157 eV/atom
M_tot: 0.00 μB/f.u.

Cell: 4.6167 4.6167 8.7144 Å, 90.00 90.00 139.12°
Fractional positions:
Be 0.0000 0.0000 0.0000
Hg 0.5000 0.5000 0.2274
Cl 0.0000 0.0000 0.4636
Cl 0.5000 0.5000 0.8495

=====

Entry 11:
## BeHgCl2 (PBE)

Data for BeHgCl2 after structural relaxation.

VASP energy: -2.70 eV per atom
Energy relative to the lowest polymorph listed for this composition: 0.2382 eV/atom
M_tot: 0.00 μB/f.u.

Cell: 4.5313 3.0876 9.3571 Å, 90.00 98.04 90.00°
Fractional positions:
Be 0.0000 0.0000 0.0000
Hg 0.5000 0.0000 0.5000
Cl 0.1156 0.5000 0.8626
Cl 0.8844 0.5000 0.1374

=====

Entry 12:
## BeHgCl2 (PBE)

Data for BeHgCl2 after structural relaxation.

VASP energy: -2.79 eV per atom
Energy relative to the lowest polymorph listed for this composition: 0.1502 eV/atom
D(E_F): 0.00 states/eV/f.u.
M_tot: 0.00 μB/f.u.

Cell: 6.5781 6.5781 6.5781 Å, 119.14 119.14 91.50°
Fractional positions:
Be 0.0000 0.0000 0.0000
Be 0.7500 0.2500 0.5000
Hg 0.2500 0.7500 0.5000
Hg 0.5000 0.5000 0.0000
Cl 0.3750 0.0638 0.1888
Cl 0.8138 0.6250 0.6888
Cl 0.8750 0.1862 0.8112
Cl 0.9362 0.1250 0.3112